# Tl2InAgBr4 PBE relaxed
data_Tl2InAgBr4
_chemical_formula_sum 'Tl8 In4 Ag4 Br16'
_cell_length_a 9.156
_cell_length_b 9.359
_cell_length_c 12.893
_cell_angle_alpha 90.00
_cell_angle_beta 90.00
_cell_angle_gamma 90.00
_space_group_name_H-M_alt 'I m m a'
_space_group_IT_number 74
_space_group_name_Hall '-I 2b 2'
loop_
_atom_site_label
_atom_site_type_symbol
_atom_site_fract_x
_atom_site_fract_y
_atom_site_fract_z
Tl1 Tl 0.000 0.000 0.000
Tl2 Tl 0.250 0.250 0.250
In1 In 0.250 0.250 0.750
Ag1 Ag 0.000 0.000 0.500
Br1 Br 0.000 0.002 0.716
Br2 Br 0.236 0.250 0.501
# size of the total moment = 0.000 μB/cell
# raw formation energy = -5.1 eV/f.u.
# calculated density = 5718 kg/m3